Entry 1:
## CuTcMo3 (GGA-PBE)

Data for crystalline CuTcMo3 at its relaxed geometry.

The value obtained for the size of the total moment is 0.0 μB/f.u. The calculation puts the formation energy at 1739 meV/atom.

The space group is Pm-3m (No. 221) and the conventional cell measures 4.671, 4.671 and 4.671 Å, with angles of 90.00, 90.00 and 90.00 degrees. The asymmetric unit holds Cu at (0.000, 0.000, 0.000), Tc at (0.500, 0.500, 0.500) and Mo at (0.000, 0.500, 0.500).

=====

Entry 2:
## CuTcMo (GGA-PBE)

Data for crystalline CuTcMo at its relaxed geometry.

The value obtained for the size of the total moment is 0.0 μB/f.u. The calculation puts the formation energy at 160 meV/atom.

The space group is I4mm (No. 107) and the conventional cell measures 3.235, 3.235 and 8.221 Å, with angles of 90.00, 90.00 and 90.00 degrees. The asymmetric unit holds Cu at (0.000, 0.000, 0.000), Tc at (0.000, 0.000, 0.330) and Mo at (0.000, 0.000, 0.669).

=====

| no. | offset from the most stable computed form (eV per atom) | calculated total energy (eV/atom) | DOS at the Fermi energy (states/eV/atom) |
| --- | --- | --- | --- |
| 1 | 0.000 | -7.6518 | 1.212 |
| 2 | 0.029 | -8.2706 | 0.627 |